[1]
VASP calculation (PBE+U) on LiUMn2O6 after structural relaxation.

crystal system = triclinic
total energy = -0.5914 Ry per atom

Cell lengths 5.4323, 5.5230, 5.7345 Å; angles 65.99, 61.89, 58.10 degrees
Each line ends with the local moment (μB).
Positions (direct):
O (0.7464, 0.0949, 0.7785)  -0.03
O (0.9230, 0.5964, 0.2605)  0.03
O (0.3859, 0.7210, 0.7656)  -0.01
O (0.6167, 0.2381, 0.2224)  -0.03
O (0.2275, 0.9407, 0.2062)  -0.01
O (0.1324, 0.4006, 0.7587)  0.04
U (0.3213, 0.3256, 0.0298)  0.19
Mn (0.5029, 0.5618, 0.4104)  4.58
Mn (0.0142, 0.0104, 0.9698)  3.93
Li (0.7914, 0.7721, 0.6132)  0.00

***

[2]
VASP calculation (PBE+U) on LiUMn2O8 after structural relaxation.

DOS at the Fermi energy = 0.243 states/eV/atom
crystal system = tetragonal
total energy = -0.5403 Ry per atom

Cell lengths 5.8939, 5.8939, 5.8939 Å; angles 108.04, 108.04, 112.38 degrees
Each line ends with the local moment (μB).
Positions (direct):
O (0.8464, 0.6591, 0.1873)  -0.06
O (0.3409, 0.1536, 0.8127)  -0.06
O (0.7833, 0.0655, 0.7178)  -0.12
O (0.9345, 0.6523, 0.7178)  -0.12
O (0.3409, 0.5283, 0.1873)  -0.06
O (0.3477, 0.0655, 0.2822)  -0.12
O (0.9345, 0.2167, 0.2822)  -0.12
O (0.4717, 0.6591, 0.8127)  -0.06
U (0.0000, 0.0000, 0.0000)  0.28
Mn (0.7500, 0.2500, 0.5000)  4.14
Mn (0.5000, 0.5000, 0.0000)  1.19
Li (0.2500, 0.7500, 0.5000)  0.00

***

[3]
VASP calculation (PBE+U) on Li2MnV3O8 after structural relaxation.

distance to the lowest polymorph of the same formula = 0.57 eV/f.u.
DOS at the Fermi energy = 0.016 states/eV/atom
crystal system = monoclinic

Cell lengths 5.9462, 10.3279, 5.9610 Å; angles 106.30, 60.08, 90.00 degrees
Each line ends with the local moment (μB).
Positions (direct):
O (0.1135, 0.6353, 0.7916)  -0.04
O (0.3687, 0.3574, 0.2469)  -0.05
O (0.3907, 0.8622, 0.7512)  -0.05
O (0.1359, 0.1430, 0.7518)  -0.05
O (0.1006, 0.6345, 0.2450)  -0.07
O (0.5949, 0.1353, 0.7916)  -0.04
O (0.9097, 0.3630, 0.2100)  -0.04
O (0.1545, 0.1345, 0.2450)  -0.07
O (0.3582, 0.3622, 0.7511)  -0.05
O (0.6124, 0.6431, 0.7518)  -0.05
O (0.9051, 0.3670, 0.7592)  -0.07
O (0.8843, 0.8574, 0.2470)  -0.05
O (0.6523, 0.6366, 0.2455)  -0.07
O (0.6022, 0.1366, 0.2456)  -0.07
O (0.3803, 0.8631, 0.2100)  -0.04
O (0.8357, 0.8670, 0.7592)  -0.07
Li (0.8060, 0.0642, 0.3815)  0.00
Li (0.1836, 0.9364, 0.6196)  0.00
Li (0.3125, 0.5642, 0.3815)  0.00
Li (0.6968, 0.4364, 0.6196)  0.00
V (0.7488, 0.7485, 0.0004)  1.81
V (0.4935, 0.9998, 0.9996)  1.83
V (0.2520, 0.2522, 0.9985)  1.07
V (0.0068, 0.4998, 0.9996)  1.83
V (0.2494, 0.7522, 0.9986)  1.07
V (0.7509, 0.2485, 0.0004)  1.81
Mn (0.2539, 0.2498, 0.4992)  3.46
Mn (0.7469, 0.7498, 0.4992)  3.46

***

[4]
VASP calculation (PBE+U) on Li2MnV3O8 after structural relaxation.

distance to the lowest polymorph of the same formula = 0.27 eV/f.u.
crystal system = orthorhombic

Cell lengths 8.1585, 8.5096, 8.7676 Å; angles 90.00, 90.00, 90.00 degrees
Each line ends with the local moment (μB).
Positions (direct):
O (0.1131, 0.6158, 0.3981)  -0.05
O (0.8907, 0.6107, 0.6246)  -0.01
O (0.3907, 0.8893, 0.3754)  -0.01
O (0.6131, 0.8842, 0.6019)  -0.05
O (0.8545, 0.6378, 0.1278)  -0.04
O (0.8560, 0.8660, 0.3607)  -0.06
O (0.3869, 0.3842, 0.8981)  -0.05
O (0.1166, 0.8892, 0.1043)  -0.04
O (0.1440, 0.3660, 0.1393)  -0.06
O (0.6455, 0.3622, 0.6278)  -0.04
O (0.3834, 0.1108, 0.6043)  -0.04
O (0.8652, 0.3595, 0.8562)  -0.04
O (0.6093, 0.3893, 0.1246)  -0.01
O (0.1348, 0.8595, 0.6438)  -0.04
O (0.6166, 0.6108, 0.8957)  -0.04
O (0.6273, 0.8598, 0.1389)  -0.02
O (0.6100, 0.1103, 0.3807)  -0.03
O (0.3545, 0.8622, 0.8722)  -0.04
O (0.8869, 0.1158, 0.1019)  -0.05
O (0.1093, 0.1107, 0.8754)  -0.01
O (0.8727, 0.1402, 0.6389)  -0.02
O (0.6440, 0.1340, 0.8607)  -0.06
O (0.3900, 0.6103, 0.1193)  -0.03
O (0.3652, 0.1405, 0.1438)  -0.04
O (0.8834, 0.3892, 0.3957)  -0.04
O (0.6348, 0.6405, 0.3562)  -0.04
O (0.8900, 0.8897, 0.8807)  -0.03
O (0.1273, 0.6402, 0.8611)  -0.02
O (0.3727, 0.3598, 0.3611)  -0.02
O (0.3560, 0.6340, 0.6393)  -0.06
O (0.1455, 0.1378, 0.3722)  -0.04
O (0.1100, 0.3897, 0.6193)  -0.03
V (0.1273, 0.3783, 0.3804)  1.87
V (0.1217, 0.6261, 0.6327)  1.12
V (0.3727, 0.6217, 0.8804)  1.87
V (0.6217, 0.8739, 0.3673)  1.12
V (0.3783, 0.3739, 0.1327)  1.12
V (0.6273, 0.1217, 0.6196)  1.87
V (0.8727, 0.8783, 0.1196)  1.87
V (0.6269, 0.6249, 0.1217)  1.09
V (0.3731, 0.1249, 0.3783)  1.09
V (0.8731, 0.3751, 0.6217)  1.09
V (0.1269, 0.8751, 0.8783)  1.09
V (0.8783, 0.1261, 0.8673)  1.12
Li (0.9973, 0.4976, 0.9973)  0.00
Li (0.2536, 0.2497, 0.7487)  0.00
Li (0.5027, 0.5024, 0.4973)  0.00
Li (0.7536, 0.2503, 0.2513)  0.00
Li (0.7464, 0.7497, 0.7513)  0.00
Li (0.4973, 0.0024, 0.0027)  0.00
Li (0.2464, 0.7503, 0.2487)  0.00
Li (0.0027, 0.9976, 0.5027)  0.00
Mn (0.1260, 0.1273, 0.1235)  3.94
Mn (0.6260, 0.3727, 0.8765)  3.94
Mn (0.3740, 0.8727, 0.6235)  3.94
Mn (0.8740, 0.6273, 0.3765)  3.94

***

[5]
VASP calculation (PBE+U) on Li2MnVO4 after structural relaxation.

distance to the lowest polymorph of the same formula = 0.00 eV/f.u.
crystal system = triclinic

Cell lengths 5.1499, 6.1305, 7.7865 Å; angles 98.17, 107.94, 87.81 degrees
Each line ends with the local moment (μB).
Positions (direct):
O (0.2829, 0.8764, 0.0130)  -0.03
O (0.2548, 0.2010, 0.3289)  0.04
O (0.7404, 0.9675, 0.3349)  0.04
O (0.7171, 0.1236, 0.9870)  -0.03
O (0.2596, 0.0325, 0.6651)  0.04
O (0.7396, 0.6329, 0.0078)  0.02
O (0.2604, 0.3671, 0.9922)  0.02
O (0.7131, 0.4455, 0.3221)  -0.04
O (0.7452, 0.7990, 0.6711)  0.04
O (0.7065, 0.2838, 0.6548)  -0.06
O (0.2935, 0.7162, 0.3452)  -0.06
O (0.2869, 0.5545, 0.6779)  -0.04
Li (0.0010, 0.9132, 0.1694)  0.00
Li (0.9896, 0.4036, 0.1566)  -0.01
Li (0.9931, 0.2306, 0.4849)  0.00
Li (0.9990, 0.0868, 0.8306)  0.00
Li (0.0104, 0.5964, 0.8434)  -0.01
Li (0.0069, 0.7694, 0.5151)  0.00
Mn (0.5083, 0.6670, 0.1687)  3.93
Mn (0.4917, 0.3330, 0.8313)  3.93
Mn (0.5000, 0.5000, 0.5000)  3.98
V (0.5069, 0.8362, 0.8330)  1.87
V (0.4931, 0.1638, 0.1670)  1.87
V (0.5000, 0.0000, 0.5000)  1.85

***

[6]
VASP calculation (PBE+U) on Li2MnV3O8 after structural relaxation.

distance to the lowest polymorph of the same formula = 0.04 eV/f.u.
crystal system = trigonal

Cell lengths 5.9694, 5.9694, 10.4726 Å; angles 90.00, 106.55, 60.00 degrees
Each line ends with the local moment (μB).
Positions (direct):
Li (0.1204, 0.9398, 0.1807)  0.00
Li (0.5014, 0.2493, 0.2521)  0.00
Li (0.1203, 0.4398, 0.6806)  0.00
Li (0.5014, 0.7493, 0.7520)  0.00
O (0.2591, 0.8704, 0.3886)  0.00
O (0.7603, 0.9007, 0.3946)  -0.03
O (0.7081, 0.6604, 0.6049)  -0.04
O (0.7391, 0.1305, 0.6086)  0.00
O (0.2954, 0.3390, 0.3946)  -0.03
O (0.2954, 0.8656, 0.8946)  -0.03
O (0.7336, 0.3656, 0.3946)  -0.03
O (0.2591, 0.3704, 0.8887)  0.00
O (0.2653, 0.6314, 0.6049)  -0.04
O (0.2363, 0.1604, 0.1049)  -0.04
O (0.7082, 0.1314, 0.1049)  -0.04
O (0.7391, 0.6305, 0.1086)  0.00
O (0.2653, 0.6033, 0.1049)  -0.04
O (0.2362, 0.1033, 0.6049)  -0.04
O (0.7603, 0.8390, 0.8946)  -0.03
O (0.7337, 0.4007, 0.8946)  -0.03
V (0.0065, 0.4890, 0.0011)  1.10
V (0.5055, 0.9892, 0.5011)  1.10
V (0.5056, 0.0054, 0.0011)  1.10
V (0.0065, 0.0044, 0.5011)  1.10
V (0.4902, 0.5053, 0.5011)  1.10
V (0.4902, 0.5045, 0.0012)  1.10
Mn (0.8788, 0.0606, 0.8181)  4.56
Mn (0.8788, 0.5606, 0.3181)  4.56

***

[7]
VASP calculation (PBE+U) on Li2MnV3O8 after structural relaxation.

distance to the lowest polymorph of the same formula = 0.29 eV/f.u.
crystal system = triclinic

Cell lengths 5.9033, 6.0586, 6.1284 Å; angles 57.42, 59.38, 61.34 degrees
Each line ends with the local moment (μB).
Positions (direct):
O (0.2654, 0.2653, 0.2563)  -0.03
O (0.7226, 0.2390, 0.2511)  -0.02
O (0.2702, 0.2538, 0.7054)  -0.04
O (0.7298, 0.7462, 0.2946)  -0.04
O (0.7346, 0.7347, 0.7436)  -0.03
O (0.2774, 0.7610, 0.7490)  -0.02
O (0.2861, 0.7052, 0.2473)  -0.04
O (0.7139, 0.2948, 0.7527)  -0.04
Li (0.8586, 0.8854, 0.8852)  0.00
Li (0.1415, 0.1146, 0.1148)  0.00
V (0.5000, 0.0000, 0.5000)  1.11
V (0.0000, 0.5000, 0.5000)  1.89
V (0.5000, 0.5000, 0.0000)  1.06
Mn (0.5000, 0.5000, 0.5000)  3.92

***

[8]
VASP calculation (PBE+U) on Li5Mn5V2O12 after structural relaxation.

DOS at the Fermi energy = 0.093 states/eV/atom
crystal system = monoclinic
total energy = -0.5086 Ry per atom

Cell lengths 5.2660, 5.2660, 9.9811 Å; angles 85.42, 85.42, 120.08 degrees
Each line ends with the local moment (μB).
Positions (direct):
Mn (0.4920, 0.9978, 0.2540)  4.22
Mn (0.0022, 0.5080, 0.7460)  4.22
Mn (0.4258, 0.5742, 0.5000)  4.46
Mn (0.5765, 0.4235, 0.0000)  4.51
Mn (0.9183, 0.0817, 0.0000)  4.51
Li (0.8342, 0.6611, 0.2545)  0.00
Li (0.3389, 0.1658, 0.7455)  0.00
Li (0.6775, 0.8485, 0.7460)  0.00
Li (0.0873, 0.9127, 0.5000)  0.00
Li (0.1515, 0.3225, 0.2540)  0.00
O (0.2168, 0.0321, 0.1288)  0.01
O (0.7243, 0.5268, 0.6212)  -0.02
O (0.9679, 0.7832, 0.8712)  0.01
O (0.0882, 0.5777, 0.3890)  0.01
O (0.6012, 0.1068, 0.8843)  0.06
O (0.4732, 0.2757, 0.3788)  -0.02
O (0.4223, 0.9118, 0.6110)  0.01
O (0.7694, 0.9669, 0.3751)  0.00
O (0.5283, 0.7227, 0.1269)  0.01
O (0.0331, 0.2306, 0.6249)  0.00
O (0.8932, 0.3988, 0.1157)  0.06
O (0.2773, 0.4717, 0.8731)  0.01
V (0.2476, 0.7524, 0.0000)  1.90
V (0.7527, 0.2473, 0.5000)  1.13

***

[9]
VASP calculation (PBE+U) on Li2Mn3VO8 after structural relaxation.

distance to the lowest polymorph of the same formula = 0.00 eV/f.u.
crystal system = orthorhombic

Cell lengths 5.8426, 5.8426, 9.6283 Å; angles 90.00, 90.00, 117.85 degrees
Each line ends with the local moment (μB).
Positions (direct):
V (0.8365, 0.1635, 0.0130)  1.25
V (0.1635, 0.8365, 0.5130)  1.25
Mn (0.8384, 0.6719, 0.7865)  3.88
Mn (0.6719, 0.8384, 0.2865)  3.88
Mn (0.3281, 0.1616, 0.7865)  3.88
Mn (0.3310, 0.6690, 0.7856)  3.31
Mn (0.6690, 0.3310, 0.2856)  3.31
Mn (0.1616, 0.3281, 0.2865)  3.88
O (0.1667, 0.8333, 0.8892)  -0.10
O (0.0187, 0.9813, 0.6350)  -0.01
O (0.5398, 0.0258, 0.1660)  -0.10
O (0.5030, 0.4970, 0.6941)  -0.07
O (0.8184, 0.6560, 0.3994)  -0.07
O (0.3440, 0.1816, 0.3994)  -0.07
O (0.4970, 0.5030, 0.1941)  -0.07
O (0.3209, 0.6791, 0.4195)  -0.04
O (0.6560, 0.8184, 0.8994)  -0.07
O (0.9742, 0.4602, 0.1660)  -0.10
O (0.9813, 0.0187, 0.1350)  -0.01
O (0.8333, 0.1667, 0.3892)  -0.10
O (0.4602, 0.9742, 0.6660)  -0.10
O (0.1816, 0.3440, 0.8994)  -0.07
O (0.0258, 0.5398, 0.6660)  -0.10
O (0.6791, 0.3209, 0.9195)  -0.04
Li (0.5049, 0.4951, 0.0068)  0.00
Li (0.1703, 0.8297, 0.1009)  0.00
Li (0.8297, 0.1703, 0.6009)  0.00
Li (0.4951, 0.5049, 0.5068)  0.00

***

[10]
VASP calculation (PBE+U) on Li2MnV3O8 after structural relaxation.

distance to the lowest polymorph of the same formula = 1.11 eV/f.u.
DOS at the Fermi energy = 0.111 states/eV/atom
crystal system = monoclinic

Cell lengths 6.3732, 6.3732, 6.6374 Å; angles 74.50, 74.50, 36.59 degrees
Each line ends with the local moment (μB).
Positions (direct):
O (0.5613, 0.5613, 0.6353)  -0.03
O (0.7653, 0.7653, 0.3526)  -0.06
O (0.4393, 0.4393, 0.3656)  -0.02
O (0.3641, 0.3641, 0.9826)  -0.10
O (0.2278, 0.2278, 0.6762)  -0.04
O (0.8816, 0.8816, 0.6763)  0.01
O (0.1183, 0.1183, 0.3204)  -0.05
O (0.6491, 0.6491, 0.0062)  -0.15
V (0.3911, 0.3911, 0.7202)  1.14
V (0.6083, 0.6083, 0.2745)  1.21
V (0.7100, 0.7100, 0.6934)  1.67
Li (0.9369, 0.9369, 0.3604)  0.00
Li (0.0582, 0.0582, 0.6385)  0.00
Mn (0.2885, 0.2885, 0.2979)  4.14

***

[11]
VASP calculation (PBE+U) on Li2MnV3O8 after structural relaxation.

distance to the lowest polymorph of the same formula = 0.56 eV/f.u.
DOS at the Fermi energy = 0.001 states/eV/atom
crystal system = monoclinic

Cell lengths 5.9466, 10.3682, 5.9633 Å; angles 90.40, 119.91, 106.67 degrees
Each line ends with the local moment (μB).
Positions (direct):
O (0.2775, 0.1238, 0.4094)  -0.05
O (0.7462, 0.3779, 0.6507)  -0.05
O (0.2494, 0.3957, 0.1237)  -0.04
O (0.7225, 0.8762, 0.5906)  -0.05
O (0.7175, 0.1221, 0.8492)  -0.05
O (0.2825, 0.8779, 0.1508)  -0.05
O (0.2698, 0.8956, 0.6237)  -0.04
O (0.7443, 0.3761, 0.0905)  -0.05
O (0.7273, 0.8764, 0.1462)  -0.08
O (0.7506, 0.6043, 0.8763)  -0.04
O (0.2727, 0.1236, 0.8538)  -0.08
O (0.2954, 0.3764, 0.6462)  -0.08
O (0.2557, 0.6239, 0.9095)  -0.05
O (0.7301, 0.1044, 0.3763)  -0.04
O (0.2538, 0.6221, 0.3493)  -0.05
O (0.7046, 0.6236, 0.3538)  -0.08
Mn (0.5090, 0.2500, 0.7499)  3.44
Mn (0.4910, 0.7500, 0.2501)  3.44
V (0.5000, 0.5000, 0.0000)  1.84
V (0.0000, 0.0000, 0.5000)  1.84
V (0.0000, 0.5000, 0.0000)  1.05
V (0.5000, 0.5000, 0.5000)  1.83
V (0.5000, 0.0000, 0.0000)  1.83
V (0.5000, 0.0000, 0.5000)  1.06
Li (0.1306, 0.1904, 0.0616)  0.00
Li (0.8694, 0.8096, 0.9384)  0.00
Li (0.1214, 0.6903, 0.5617)  0.00
Li (0.8786, 0.3097, 0.4383)  0.00

***

[12]
VASP calculation (PBE+U) on Li2MnV3O8 after structural relaxation.

distance to the lowest polymorph of the same formula = 0.00 eV/f.u.
crystal system = trigonal

Cell lengths 5.9300, 5.9300, 9.9183 Å; angles 90.00, 90.00, 120.00 degrees
Each line ends with the local moment (μB).
Positions (direct):
O (0.3107, 0.1404, 0.1090)  -0.03
O (0.3333, 0.6667, 0.1028)  0.01
O (0.8596, 0.1703, 0.1090)  -0.03
O (0.9667, 0.4985, 0.8260)  -0.04
O (0.6667, 0.3333, 0.6028)  0.01
O (0.1404, 0.3107, 0.6090)  -0.03
O (0.0333, 0.5318, 0.3260)  -0.04
O (0.4985, 0.9667, 0.3260)  -0.04
O (0.5318, 0.0333, 0.8260)  -0.04
O (0.4682, 0.5015, 0.3260)  -0.04
O (0.1703, 0.8596, 0.6090)  -0.03
O (0.0000, 0.0000, 0.3135)  0.00
O (0.0000, 0.0000, 0.8135)  0.00
O (0.8297, 0.6893, 0.1090)  -0.03
O (0.5015, 0.4682, 0.8260)  -0.04
O (0.6893, 0.8297, 0.6090)  -0.03
Mn (0.3333, 0.6667, 0.4976)  4.59
Mn (0.6667, 0.3333, 0.9976)  4.59
V (0.3379, 0.1823, 0.7144)  1.11
V (0.6621, 0.8444, 0.2144)  1.11
V (0.8177, 0.1556, 0.7144)  1.11
V (0.1823, 0.3379, 0.2144)  1.11
V (0.8444, 0.6621, 0.7144)  1.11
V (0.1556, 0.8177, 0.2144)  1.11
Li (0.3333, 0.6667, 0.8952)  0.00
Li (0.0000, 0.0000, 0.9967)  0.00
Li (0.6667, 0.3333, 0.3952)  0.00
Li (0.0000, 0.0000, 0.4967)  0.00

***

[13]
VASP calculation (PBE+U) on Li5Mn2V5O12 after structural relaxation.

crystal system = monoclinic
total energy = -0.5169 Ry per atom

Cell lengths 5.2446, 5.2446, 9.9787 Å; angles 85.02, 85.02, 119.32 degrees
Each line ends with the local moment (μB).
Positions (direct):
O (0.6340, 0.1616, 0.8697)  0.00
O (0.9319, 0.7631, 0.8765)  0.03
O (0.7824, 0.9319, 0.3810)  0.04
O (0.5414, 0.7193, 0.1269)  0.02
O (0.2807, 0.4586, 0.8731)  0.02
O (0.8384, 0.3660, 0.1303)  0.00
O (0.7361, 0.5612, 0.6168)  0.02
O (0.0681, 0.2176, 0.6190)  0.04
O (0.1623, 0.6483, 0.3784)  0.02
O (0.4388, 0.2639, 0.3832)  0.02
O (0.3517, 0.8377, 0.6216)  0.02
O (0.2369, 0.0681, 0.1235)  0.03
Mn (0.7563, 0.2437, 0.5000)  4.60
Mn (0.2433, 0.7567, 0.0000)  4.59
V (0.0867, 0.9133, 0.5000)  1.91
V (0.5141, 0.0033, 0.2415)  1.94
V (0.4250, 0.5750, 0.5000)  1.92
V (0.5745, 0.4255, 0.0000)  1.91
V (0.9967, 0.4859, 0.7585)  1.94
Li (0.8501, 0.6951, 0.2347)  0.00
Li (0.6602, 0.8297, 0.7618)  0.00
Li (0.9151, 0.0849, 0.0000)  0.00
Li (0.3049, 0.1499, 0.7653)  0.00
Li (0.1703, 0.3398, 0.2382)  0.00